# V3GaW PBE relaxed
data_V3GaW
_cell_length_a 2.618
_cell_length_b 4.357
_cell_length_c 12.613
_cell_angle_alpha 90.00
_cell_angle_beta 90.64
_cell_angle_gamma 90.00
_symmetry_space_group_name_H-M 'P 1 21/m 1'
_symmetry_Int_Tables_number 11
_symmetry_space_group_name_Hall '-P 2yb'
loop_
_atom_site_label
_atom_site_fract_x
_atom_site_fract_y
_atom_site_fract_z
V1 0.081 0.250 0.155
V2 0.136 0.750 0.452
V3 0.149 0.250 0.744
Ga1 0.480 0.250 0.353
W1 0.350 0.250 0.945
# * formation energy: -0.07 eV per formula unit
# * ρ: 9.38 g/cm3
# * D(E_F): 11.23 states/eV per cell

---

# Nb3BiAs PBE relaxed
data_Nb3BiAs
_cell_length_a 4.821
_cell_length_b 4.821
_cell_length_c 4.821
_cell_angle_alpha 90.00
_cell_angle_beta 90.00
_cell_angle_gamma 90.00
_symmetry_space_group_name_H-M 'P m -3 m'
_symmetry_Int_Tables_number 221
_symmetry_space_group_name_Hall '-P 4 2 3'
loop_
_atom_site_label
_atom_site_fract_x
_atom_site_fract_y
_atom_site_fract_z
Nb1 0.000 0.000 0.500
Bi1 0.500 0.500 0.500
As1 0.000 0.000 0.000
# * formation energy: 2.93 eV per formula unit
# * ρ: 8.34 g/cm3
# * D(E_F): 5.25 states/eV per cell